# NpAgI4 (PBE-GGA, relaxed)
# spin magnetization	4.0	μB/f.u.
# formation energy (no corrections)	-338	kJ/mol of formula units
# calculated volume	1007.7	Å³/cell
# N(E_F)	5.188	states/eV/f.u.
# energy above the lowest structure with this stoichiometry	0.041	eV/atom
# uncorrected energy	-4.249	eV per atom
data_NpAgI4
_cell_length_a 13.0117
_cell_length_b 8.9067
_cell_length_c 8.6954
_cell_angle_alpha 90.00
_cell_angle_beta 90.03
_cell_angle_gamma 90.00
_space_group_name_H-M_alt 'C 1 2/c 1'
_space_group_IT_number 15
loop_
_space_group_symop_operation_xyz
'x,y,z'
'-x,-y,-z'
'-x,y,-z+1/2'
'x,-y,z+1/2'
'x+1/2,y+1/2,z'
'-x+1/2,-y+1/2,-z'
'-x+1/2,y+1/2,-z+1/2'
'x+1/2,-y+1/2,z+1/2'
loop_
_atom_site_label
_atom_site_type_symbol
_atom_site_fract_x
_atom_site_fract_y
_atom_site_fract_z
Np1 Np 0.2500 0.2500 0.0000
Ag1 Ag 0.0000 0.0006 0.7500
I1 I 0.0130 0.2299 0.0002
I2 I 0.2365 0.4956 0.7455

# Ba3Mn2S6 (PBE-GGA, relaxed)
# spin magnetization	8.1	μB/f.u.
# formation energy (no corrections)	-1493	kJ/mol of formula units
# calculated volume	565.5	Å³/cell
# N(E_F)	3.165	states/eV/f.u.
# uncorrected energy	-5.850	eV per atom
data_Ba3Mn2S6
_cell_length_a 4.7154
_cell_length_b 4.7154
_cell_length_c 25.4335
_cell_angle_alpha 90.00
_cell_angle_beta 90.00
_cell_angle_gamma 90.00
_space_group_name_H-M_alt 'I 4/m m m'
_space_group_IT_number 139
_space_group_name_Hall '-I 4 2'
loop_
_atom_site_label
_atom_site_type_symbol
_atom_site_fract_x
_atom_site_fract_y
_atom_site_fract_z
Ba1 Ba 0.0000 0.0000 0.0000
Ba2 Ba 0.0000 0.0000 0.1770
Mn1 Mn 0.0000 0.0000 0.3934
S1 S 0.0000 0.0000 0.3030
S2 S 0.0000 0.5000 0.0855

# Co4SiSe (PBE-GGA, relaxed)
# spin magnetization	6.3	μB/f.u.
# formation energy (no corrections)	218	kJ/mol of formula units
# calculated volume	308.7	Å³/cell
# N(E_F)	7.728	states/eV/f.u.
# uncorrected energy	-5.844	eV per atom
data_Co4SiSe
_cell_length_a 6.7584
_cell_length_b 6.7584
_cell_length_c 6.7584
_cell_angle_alpha 90.00
_cell_angle_beta 90.00
_cell_angle_gamma 90.00
_space_group_name_H-M_alt 'F -4 3 m'
_space_group_IT_number 216
_space_group_name_Hall 'F -4 2 3'
loop_
_atom_site_label
_atom_site_type_symbol
_atom_site_fract_x
_atom_site_fract_y
_atom_site_fract_z
Co1 Co 0.1253 0.1253 0.1253
Si1 Si 0.0000 0.0000 0.5000
Se1 Se 0.2500 0.2500 0.7500

# PaTcP (PBE-GGA, relaxed)
# spin magnetization	0.0	μB/f.u.
# calculated volume	122.5	Å³/cell
# N(E_F)	3.475	states/eV/f.u.
# energy above the lowest structure with this stoichiometry	0.669	eV/atom
# DFT formation energy	-231	meV/atom
# uncorrected energy	-8.654	eV per atom
data_PaTcP
_cell_length_a 3.7883
_cell_length_b 3.7883
_cell_length_c 8.5332
_cell_angle_alpha 90.00
_cell_angle_beta 90.00
_cell_angle_gamma 90.00
_space_group_name_H-M_alt 'I 4 m m'
_space_group_IT_number 107
_space_group_name_Hall 'I 4 -2'
loop_
_atom_site_label
_atom_site_type_symbol
_atom_site_fract_x
_atom_site_fract_y
_atom_site_fract_z
Pa1 Pa 0.0000 0.0000 0.0000
Tc1 Tc 0.0000 0.0000 0.4129
P1 P 0.0000 0.0000 0.6830

# MnGa2Se4 (PBE-GGA, relaxed)
# spin magnetization	5.0	μB/f.u.
# formation energy (no corrections)	-381	kJ/mol of formula units
# calculated volume	359.8	Å³/cell
# energy above the lowest structure with this stoichiometry	0.000	eV/atom
# uncorrected energy	-4.730	eV per atom
data_MnGa2Se4
_cell_length_a 5.7181
_cell_length_b 5.7181
_cell_length_c 11.0029
_cell_angle_alpha 90.00
_cell_angle_beta 90.00
_cell_angle_gamma 90.00
_space_group_name_H-M_alt 'I -4'
_space_group_IT_number 82
loop_
_space_group_symop_operation_xyz
'x,y,z'
'y,-x,-z'
'-x,-y,z'
'-y,x,-z'
'x+1/2,y+1/2,z+1/2'
'y+1/2,-x+1/2,-z+1/2'
'-x+1/2,-y+1/2,z+1/2'
'-y+1/2,x+1/2,-z+1/2'
loop_
_atom_site_label
_atom_site_type_symbol
_atom_site_fract_x
_atom_site_fract_y
_atom_site_fract_z
Mn1 Mn 0.0000 0.0000 0.0000
Ga1 Ga 0.0000 0.0000 0.5000
Ga2 Ga 0.0000 0.5000 0.7500
Se1 Se 0.2348 0.2520 0.3667

# SrZn2Cr (PBE-GGA, relaxed)
# spin magnetization	4.2	μB/f.u.
# calculated volume	437.0	Å³/cell
# N(E_F)	2.298	states/eV/f.u.
# DFT formation energy	319	meV/atom
# uncorrected energy	-3.144	eV per atom
data_SrZn2Cr
_cell_length_a 4.8973
_cell_length_b 4.8973
_cell_length_c 18.2227
_cell_angle_alpha 90.00
_cell_angle_beta 90.00
_cell_angle_gamma 90.00
_space_group_name_H-M_alt 'I -4 2 d'
_space_group_IT_number 122
_space_group_name_Hall 'I -4 2bw'
loop_
_atom_site_label
_atom_site_type_symbol
_atom_site_fract_x
_atom_site_fract_y
_atom_site_fract_z
Sr1 Sr 0.0000 0.0000 0.0000
Zn1 Zn 0.0017 0.2500 0.6250
Cr1 Cr 0.0000 0.0000 0.5000

# NaHfIN2 (PBE-GGA, relaxed)
# spin magnetization	2.2	μB/f.u.
# formation energy (no corrections)	872	kJ/mol of formula units
# calculated volume	94.7	Å³/cell
# N(E_F)	2.262	states/eV/f.u.
# energy above the lowest structure with this stoichiometry	1.966	eV/atom
# uncorrected energy	-4.087	eV per atom
data_NaHfIN2
_cell_length_a 4.3176
_cell_length_b 4.3176
_cell_length_c 5.0810
_cell_angle_alpha 90.00
_cell_angle_beta 90.00
_cell_angle_gamma 90.00
_space_group_name_H-M_alt 'P 4/m m m'
_space_group_IT_number 123
_space_group_name_Hall '-P 4 2'
loop_
_atom_site_label
_atom_site_type_symbol
_atom_site_fract_x
_atom_site_fract_y
_atom_site_fract_z
Na1 Na 0.0000 0.0000 0.0000
Hf1 Hf 0.5000 0.5000 0.5000
I1 I 0.0000 0.0000 0.5000
N1 N 0.0000 0.5000 0.0000

# Hf3ScMn (PBE-GGA, relaxed)
# spin magnetization	0.2	μB/f.u.
# calculated volume	116.5	Å³/cell
# N(E_F)	6.747	states/eV/f.u.
# energy above the lowest structure with this stoichiometry	1.499	eV/atom
# DFT formation energy	1800	meV/atom
# uncorrected energy	-7.272	eV per atom
data_Hf3ScMn
_cell_length_a 4.8844
_cell_length_b 4.8844
_cell_length_c 4.8844
_cell_angle_alpha 90.00
_cell_angle_beta 90.00
_cell_angle_gamma 90.00
_space_group_name_H-M_alt 'P m -3 m'
_space_group_IT_number 221
_space_group_name_Hall '-P 4 2 3'
loop_
_atom_site_label
_atom_site_type_symbol
_atom_site_fract_x
_atom_site_fract_y
_atom_site_fract_z
Hf1 Hf 0.0000 0.0000 0.5000
Sc1 Sc 0.0000 0.0000 0.0000
Mn1 Mn 0.5000 0.5000 0.5000